Computed, not measured: a relaxed structure of Pr4S at the PBE-GGA level of DFT.

Values from the calculation:
Its crystal system is cubic. For the uncorrected formation energy, the calculation gives -678.1 meV/atom. Its space group is Pm-3m, No. 221.

Cell: 5.578 5.578 5.578 Å, 90.00 90.00 90.00°
Fractional coordinates of all 5 atoms:
Pr: 0.000 0.000 0.000
Pr: 0.500 0.000 0.500
Pr: 0.000 0.500 0.500
Pr: 0.500 0.500 0.000
S: 0.500 0.500 0.500

---

Computed, not measured: a relaxed structure of Mn2C at the PBE-GGA level of DFT.

Values from the calculation:
Its crystal system is orthorhombic. The formation enthalpy at 0 K is -31.5 meV per atom. Its space group is Pnnm, No. 58.

Cell: 2.865 4.457 4.703 Å, 90.00 90.00 90.00°
Fractional coordinates of all 6 atoms:
C: 0.000 0.000 0.000
C: 0.500 0.500 0.500
Mn: 0.000 0.254 0.657
Mn: 0.000 0.746 0.343
Mn: 0.500 0.754 0.843
Mn: 0.500 0.246 0.157

---

Computed, not measured: a relaxed structure of TiCo2IrPb at the PBE-GGA level of DFT.

Values from the calculation:
Its crystal system is tetragonal. The formation enthalpy at 0 K is 1338.1 meV per atom. Its space group is P4/mmm, No. 123.

Cell: 4.208 5.174 4.208 Å, 90.00 90.00 90.00°
Fractional coordinates of all 5 atoms:
Pb: 0.000 0.500 0.000
Ir: 0.500 0.500 0.500
Co: 0.000 0.000 0.500
Co: 0.500 0.000 0.000
Ti: 0.000 0.000 0.000

---

Computed, not measured: a relaxed structure of PrHo2Te at the PBE-GGA level of DFT.

Values from the calculation:
Its crystal system is trigonal. For the uncorrected formation energy, the calculation gives -525.5 meV/atom. The energy above the most stable polymorph in this dataset comes out at 50.7 kJ/mol of formula units. Its space group is R3m, No. 160.

Cell: 3.895 3.895 10.201 Å, 78.98 78.98 59.97°
Fractional coordinates of all 4 atoms:
Pr: 0.500 0.500 0.501
Ho: 0.070 0.070 0.789
Ho: 0.263 0.263 0.210
Te: 0.667 0.667 0.000

---

Computed, not measured: a relaxed structure of Re3As at the PBE-GGA level of DFT.

Values from the calculation:
Its crystal system is orthorhombic. The energy above the most stable polymorph in this dataset comes out at 113.2 kJ/mol of formula units. The formation enthalpy at 0 K is 451.3 meV per atom. Its space group is Pnma, No. 62.

Cell: 5.615 5.529 7.787 Å, 90.00 90.00 90.00°
Fractional coordinates of all 16 atoms:
Re: 0.082 0.979 0.750
Re: 0.582 0.521 0.250
Re: 0.418 0.479 0.750
Re: 0.918 0.021 0.250
Re: 0.696 0.188 0.964
Re: 0.196 0.312 0.036
Re: 0.804 0.688 0.536
Re: 0.304 0.812 0.464
Re: 0.304 0.812 0.036
Re: 0.804 0.688 0.964
Re: 0.196 0.312 0.464
Re: 0.696 0.188 0.536
As: 0.517 0.919 0.750
As: 0.017 0.581 0.250
As: 0.983 0.419 0.750
As: 0.483 0.081 0.250

---

Computed, not measured: a relaxed structure of Li2Ca4Se at the PBE-GGA level of DFT.

Values from the calculation:
Its crystal system is tetragonal. For the uncorrected formation energy, the calculation gives -328.0 meV/atom. Its space group is I4/mmm, No. 139.

Cell: 5.506 5.506 9.282 Å, 72.75 72.75 90.00°
Fractional coordinates of all 7 atoms:
Ca: 0.818 0.818 0.364
Ca: 0.182 0.182 0.636
Ca: 0.000 0.500 0.000
Ca: 0.500 0.000 0.000
Se: 0.000 0.000 0.000
Li: 0.626 0.626 0.749
Li: 0.374 0.374 0.251

---

Computed, not measured: a relaxed structure of LiMgGa2 at the PBE-GGA level of DFT.

Values from the calculation:
Its crystal system is tetragonal. The formation enthalpy at 0 K is 17.4 meV per atom. Its space group is I-42d, No. 122.

Cell: 7.439 7.439 5.985 Å, 51.58 51.58 90.00°
Fractional coordinates of all 8 atoms:
Mg: 0.000 0.000 0.000
Mg: 0.750 0.250 0.500
Ga: 0.608 0.125 0.250
Ga: 0.142 0.625 0.250
Ga: 0.375 0.392 0.750
Ga: 0.875 0.858 0.750
Li: 0.500 0.500 0.000
Li: 0.250 0.750 0.500

---

Computed, not measured: a relaxed structure of Si2SbW at the PBE-GGA level of DFT.

Values from the calculation:
Its crystal system is cubic. For the uncorrected formation energy, the calculation gives 784.6 meV/atom. Its space group is F-43m, No. 216.

Cell: 4.590 4.590 4.590 Å, 60.00 60.00 60.00°
Fractional coordinates of all 4 atoms:
Sb: 0.500 0.500 0.500
Si: 0.000 0.000 0.000
Si: 0.250 0.250 0.250
W: 0.750 0.750 0.750

---

Computed, not measured: a relaxed structure of Ba4MgHg5 at the PBE-GGA level of DFT.

Values from the calculation:
Its crystal system is tetragonal. The formation enthalpy at 0 K is -439.0 meV per atom. Its space group is P4/mmm, No. 123.

Cell: 4.079 4.079 20.410 Å, 90.00 90.00 90.00°
Fractional coordinates of all 10 atoms:
Ba: 0.000 0.000 0.182
Ba: 0.000 0.000 0.394
Ba: 0.000 0.000 0.606
Ba: 0.000 0.000 0.818
Mg: 0.000 0.000 0.000
Hg: 0.500 0.500 0.076
Hg: 0.500 0.500 0.288
Hg: 0.500 0.500 0.500
Hg: 0.500 0.500 0.712
Hg: 0.500 0.500 0.924

---

Computed, not measured: a relaxed structure of CsNa7In5 at the PBE-GGA level of DFT.

Values from the calculation:
Its crystal system is orthorhombic. The formation enthalpy at 0 K is -91.2 meV per atom. Its space group is Imm2, No. 44.

Cell: 6.547 8.638 8.638 Å, 79.81 67.73 67.73°
Fractional coordinates of all 13 atoms:
Cs: 0.002 0.998 0.998
Na: 0.663 0.337 0.337
Na: 0.342 0.658 0.658
Na: 0.995 0.350 0.661
Na: 0.995 0.661 0.350
Na: 0.268 0.232 0.232
Na: 0.503 0.783 0.210
Na: 0.503 0.210 0.783
In: 0.493 0.994 0.509
In: 0.004 0.994 0.509
In: 0.493 0.509 0.994
In: 0.004 0.509 0.994
In: 0.734 0.766 0.766

---

Computed, not measured: a relaxed structure of NaLa2PaO6 at the PBE-GGA level of DFT.

Values from the calculation:
Its crystal system is trigonal. For the uncorrected formation energy, the calculation gives -3242.5 meV/atom. Its space group is R3, No. 146.

Cell: 6.132 6.132 6.288 Å, 60.82 60.82 60.00°
Fractional coordinates of all 10 atoms:
Na: 0.804 0.804 0.589
La: 0.532 0.532 0.404
La: 0.026 0.026 0.921
Pa: 0.315 0.315 0.055
O: 0.593 0.216 0.240
O: 0.216 0.951 0.240
O: 0.951 0.593 0.240
O: 0.402 0.679 0.775
O: 0.679 0.143 0.775
O: 0.143 0.402 0.775

---

Computed, not measured: a relaxed structure of CaP2H4O4 at the PBE-GGA level of DFT.

Values from the calculation:
Its crystal system is monoclinic. Its space group is C2/c, No. 15.

Cell: 8.345 8.345 6.744 Å, 78.81 78.81 40.25°
Fractional coordinates of all 22 atoms:
Ca: 0.164 0.836 0.750
Ca: 0.836 0.164 0.250
H: 0.935 0.407 0.590
H: 0.593 0.065 0.910
H: 0.065 0.593 0.410
H: 0.407 0.935 0.090
H: 0.891 0.532 0.879
H: 0.468 0.109 0.621
H: 0.109 0.468 0.121
H: 0.532 0.891 0.379
O: 0.933 0.213 0.898
O: 0.787 0.067 0.602
O: 0.067 0.787 0.102
O: 0.213 0.933 0.398
O: 0.537 0.676 0.776
O: 0.324 0.463 0.724
O: 0.463 0.324 0.224
O: 0.676 0.537 0.276
P: 0.816 0.459 0.788
P: 0.541 0.184 0.712
P: 0.184 0.541 0.212
P: 0.459 0.816 0.288

---

Computed, not measured: a relaxed structure of LiPSeN2 at the PBE-GGA level of DFT.

Values from the calculation:
Its crystal system is tetragonal. For the uncorrected formation energy, the calculation gives 1806.8 meV/atom. The energy above the most stable polymorph in this dataset comes out at 642.5 kJ/mol of formula units. Its space group is P4/mmm, No. 123.

Cell: 3.688 3.688 5.213 Å, 90.00 90.00 90.00°
Fractional coordinates of all 5 atoms:
P: 0.500 0.500 0.500
Li: 0.000 0.000 0.000
Se: 0.000 0.000 0.500
N: 0.000 0.500 0.000
N: 0.500 0.000 0.000

---

Computed, not measured: a relaxed structure of Ac4TbSm5 at the PBE-GGA level of DFT.

Values from the calculation:
Its crystal system is tetragonal. The formation enthalpy at 0 K is 42.8 meV per atom. Its space group is P4/mmm, No. 123.

Cell: 3.822 3.822 25.841 Å, 90.00 90.00 90.00°
Fractional coordinates of all 10 atoms:
Ac: 0.000 0.000 0.195
Ac: 0.000 0.000 0.398
Ac: 0.000 0.000 0.602
Ac: 0.000 0.000 0.805
Tb: 0.000 0.000 0.000
Sm: 0.500 0.500 0.092
Sm: 0.500 0.500 0.297
Sm: 0.500 0.500 0.500
Sm: 0.500 0.500 0.703
Sm: 0.500 0.500 0.908

---

Computed, not measured: a relaxed structure of SnPbI5 at the PBE-GGA level of DFT.

Values from the calculation:
Its crystal system is monoclinic. For the uncorrected formation energy, the calculation gives -382.6 meV/atom. Its space group is C2/c, No. 15.

Cell: 8.190 8.190 11.525 Å, 69.66 69.66 71.98°
Fractional coordinates of all 14 atoms:
Sn: 0.000 0.000 0.000
Sn: 0.000 0.000 0.500
Pb: 0.513 0.487 0.250
Pb: 0.487 0.513 0.750
I: 0.838 0.680 0.142
I: 0.248 0.637 0.476
I: 0.680 0.838 0.642
I: 0.900 0.100 0.250
I: 0.363 0.752 0.024
I: 0.637 0.248 0.976
I: 0.100 0.900 0.750
I: 0.320 0.162 0.358
I: 0.752 0.363 0.524
I: 0.162 0.320 0.858

---

Computed, not measured: a relaxed structure of In2AgW at the PBE-GGA level of DFT.

Values from the calculation:
Its crystal system is tetragonal. The energy above the most stable polymorph in this dataset comes out at 93.3 kJ/mol of formula units. The formation enthalpy at 0 K is 647.4 meV per atom. Its space group is P4mm, No. 99.

Cell: 3.684 3.684 5.879 Å, 90.00 90.00 90.00°
Fractional coordinates of all 4 atoms:
Ag: 0.500 0.500 0.753
W: 0.000 0.000 0.482
In: 0.000 0.000 0.980
In: 0.500 0.500 0.285

---

Computed, not measured: a relaxed structure of Cr2InN at the PBE-GGA level of DFT.

Values from the calculation:
Its crystal system is cubic. For the uncorrected formation energy, the calculation gives 1494.2 meV/atom. Its space group is Fm-3m, No. 225.

Cell: 4.190 4.190 4.190 Å, 60.00 60.00 60.00°
Fractional coordinates of all 4 atoms:
Cr: 0.250 0.250 0.250
Cr: 0.750 0.750 0.750
N: 0.000 0.000 0.000
In: 0.500 0.500 0.500

---

Computed, not measured: a relaxed structure of NaMnPt at the PBE-GGA level of DFT.

Values from the calculation:
Its crystal system is hexagonal. The energy above the most stable polymorph in this dataset comes out at 124.7 kJ/mol of formula units. The formation enthalpy at 0 K is 349.2 meV per atom. Its space group is P-6m2, No. 187.

Cell: 4.452 4.452 5.732 Å, 90.00 90.00 120.00°
Fractional coordinates of all 6 atoms:
Na: 0.667 0.333 0.000
Na: 0.667 0.333 0.500
Mn: 0.333 0.667 0.170
Mn: 0.333 0.667 0.830
Pt: 0.000 0.000 0.236
Pt: 0.000 0.000 0.764

---

Computed, not measured: a relaxed structure of Li2AcLa2Sn2 at the PBE-GGA level of DFT.

Values from the calculation:
Its crystal system is trigonal. The formation enthalpy at 0 K is -501.4 meV per atom. Its space group is R-3m, No. 166.

Cell: 4.899 4.899 10.116 Å, 75.99 75.99 60.00°
Fractional coordinates of all 7 atoms:
Li: 0.586 0.586 0.241
Li: 0.414 0.414 0.759
Ac: 0.000 0.000 0.000
La: 0.135 0.135 0.594
La: 0.865 0.865 0.406
Sn: 0.741 0.741 0.778
Sn: 0.259 0.259 0.222

---

Computed, not measured: a relaxed structure of ScAuBr at the PBE-GGA level of DFT.

Values from the calculation:
Its crystal system is monoclinic. For the uncorrected formation energy, the calculation gives -1057.8 meV/atom. The energy above the most stable polymorph in this dataset comes out at 0.0 kJ/mol of formula units. Its space group is C2/m, No. 12.

Cell: 3.641 4.972 10.582 Å, 88.85 80.09 68.52°
Fractional coordinates of all 6 atoms:
Sc: 0.344 0.657 0.656
Sc: 0.656 0.343 0.344
Au: 0.882 0.783 0.454
Au: 0.118 0.217 0.546
Br: 0.273 0.294 0.159
Br: 0.727 0.706 0.841

---

Computed, not measured: a relaxed structure of MgNiHgPd at the PBE-GGA level of DFT.

Values from the calculation:
Its crystal system is cubic. The formation enthalpy at 0 K is -218.5 meV per atom. Its space group is F-43m, No. 216.

Cell: 4.506 4.506 4.506 Å, 60.00 60.00 60.00°
Fractional coordinates of all 4 atoms:
Ni: 0.750 0.750 0.750
Mg: 0.500 0.500 0.500
Hg: 0.000 0.000 0.000
Pd: 0.250 0.250 0.250

---

Computed, not measured: a relaxed structure of SrMgZn2Ga2 at the PBE-GGA level of DFT.

Values from the calculation:
Its crystal system is trigonal. The formation enthalpy at 0 K is -298.9 meV per atom. Its space group is P-3m1, No. 164.

Cell: 4.430 4.430 7.499 Å, 90.00 90.00 120.00°
Fractional coordinates of all 6 atoms:
Sr: 0.000 0.000 0.000
Mg: 0.000 0.000 0.500
Zn: 0.667 0.333 0.304
Zn: 0.333 0.667 0.696
Ga: 0.667 0.333 0.713
Ga: 0.333 0.667 0.287

---

Computed, not measured: a relaxed structure of Sc6Bi2Sb3Te at the PBE-GGA level of DFT.

Values from the calculation:
Its crystal system is monoclinic. For the uncorrected formation energy, the calculation gives -897.4 meV/atom. Its space group is C2/m, No. 12.

Cell: 4.197 8.403 9.375 Å, 102.91 102.93 90.00°
Fractional coordinates of all 12 atoms:
Sc: 0.332 0.922 0.664
Sc: 0.665 0.587 0.329
Sc: 0.668 0.078 0.336
Sc: 0.998 0.256 0.996
Sc: 0.002 0.744 0.004
Sc: 0.335 0.413 0.671
Bi: 0.834 0.668 0.667
Bi: 0.166 0.332 0.333
Sb: 0.500 0.500 0.000
Sb: 0.833 0.167 0.667
Sb: 0.167 0.833 0.333
Te: 0.500 0.000 0.000

---

Computed, not measured: a relaxed structure of Li2Sm3HoSe6 at the PBE-GGA level of DFT.

Values from the calculation:
Its crystal system is monoclinic. For the uncorrected formation energy, the calculation gives -1733.8 meV/atom. Its space group is C2/m, No. 12.

Cell: 7.086 7.086 7.076 Å, 99.60 99.60 120.00°
Fractional coordinates of all 12 atoms:
Li: 0.333 0.667 0.000
Li: 0.667 0.333 0.000
Sm: 0.167 0.833 0.500
Sm: 0.833 0.167 0.500
Sm: 0.500 0.500 0.500
Ho: 0.000 0.000 0.000
Se: 0.921 0.585 0.765
Se: 0.742 0.742 0.237
Se: 0.079 0.415 0.235
Se: 0.585 0.921 0.765
Se: 0.258 0.258 0.763
Se: 0.415 0.079 0.235

---

How do the records compare in total DFT energy (no corrections)? In the order shown, they have -5.327 -9.219 -5.597 -4.795 -10.047 -2.516 -2.373 -6.196 -1.518 -1.920 -8.284 -5.701 -3.685 -4.423 -2.591 -4.673 -6.083 -5.161 -4.187 -4.818 -3.436 -2.279 -6.002 -5.356 eV/atom.